# PBE with a Hubbard U MnI2NO, optimized geometry
data_MnI2NO
_chemical_formula_sum 'Mn1 I2 N1 O1'
_cell_length_a 5.425
_cell_length_b 5.425
_cell_length_c 3.468
_cell_angle_alpha 90.00
_cell_angle_beta 90.00
_cell_angle_gamma 90.00
_space_group_name_H-M_alt 'P 4/m m m'
_space_group_IT_number 123
_space_group_name_Hall '-P 4 2'
loop_
_atom_site_label
_atom_site_fract_x
_atom_site_fract_y
_atom_site_fract_z
Mn1 0.000 0.000 0.000
I1 0.000 0.500 0.000
N1 0.500 0.500 0.500
O1 0.000 0.000 0.500
# **Energy relative to the lowest polymorph listed for this composition**: 498.3 meV/atom
# **D(E_F)**: 1.203 states/eV per atom
# **Energy**: -16.91 eV for the cell shown